# 1
Material: TbTaOs4
Method: DFT, PBE
State: relaxed

Summary:
As for the total magnetic moment: 0.00 μB/atom. As for the formation energy: -0.06 eV/atom.

Structure (POSCAR):
```
TbTaOs4
1.0
5.2567 0.0000 0.0000
2.6284 4.5525 0.0000
2.6284 1.5175 4.2921
Os Ta Tb
4 1 1
Direct
0.6252 0.1245 0.6252
0.6252 0.6252 0.6252
0.1245 0.6252 0.6252
0.6252 0.6252 0.1245
0.2500 0.2500 0.2500
0.0000 0.0000 0.0000
```

# 2
Material: TaTcOs2
Method: DFT, PBE
State: relaxed

Summary:
As for the total magnetic moment: 0.00 μB/atom. As for the formation energy: 0.14 eV/atom.

Structure (POSCAR):
```
TaTcOs2
1.0
9.3582 0.0109 0.0064
8.9429 2.7569 0.0064
8.9429 1.3525 2.4023
Tc Os Ta
1 2 1
Direct
0.7451 0.7451 0.7451
0.0007 0.0007 0.0007
0.2534 0.2534 0.2534
0.5008 0.5008 0.5008
```

# 3
Material: TaTcOs2
Method: DFT, PBE
State: relaxed

Summary:
As for the total magnetic moment: 0.00 μB/atom. As for the formation energy: -0.03 eV/atom.

Structure (POSCAR):
```
TaTcOs2
1.0
-4.2382 2.0768 -0.9378
-4.6000 0.4920 1.3238
0.3948 3.9291 2.8164
Os Ta Tc
2 1 1
Direct
0.5042 0.5042 0.4813
0.9958 0.9958 0.0187
0.7500 0.7500 0.7500
0.2500 0.2500 0.2500
```